Density functional theory data (PBE with a Hubbard U) for a geometry-optimized K2MnBe2O4 structure.

a b c (Å): 12.333 3.075 6.184
angles (deg): 90.00 109.41 90.00
Space group C2/m (No. 12)
Inequivalent atoms, fractional coordinates:
K: 0.127 0.000 0.030 x4
Mn: 0.000 0.000 0.500 x2
Be: 0.178 0.500 0.476 x4
O: 0.048 0.500 0.306 x4
O: 0.211 0.000 0.627 x4

Output
total DFT energy (no corrections)	-6.051	eV per atom
spin magnetization	10.000	μB per cell
mass density	3.2	g cm⁻³